The following is a DFT calculation (PBE-GGA) of NaNpBO4 after structural relaxation. Values from VASP.

Geometry as Quantum ESPRESSO input:
```
&SYSTEM
  ibrav = 0, nat = 14, ntyp = 4
/
ATOMIC_SPECIES
Na 22.99 Na.upf
Np 237.00 Np.upf
B 10.81 B.upf
O 16.00 O.upf
CELL_PARAMETERS angstrom
5.115 -0.081 0.000
-2.129 4.652 0.000
0.000 0.000 6.699
ATOMIC_POSITIONS angstrom
Na 1.493 2.285 3.350
Na 1.493 2.285 0.000
Np 3.713 0.834 1.675
Np -0.727 3.736 5.024
B -1.198 4.043 1.675
B 4.184 0.527 5.024
O 0.448 1.133 5.024
O 2.128 3.705 5.024
O 3.445 1.010 6.233
O 3.445 1.010 3.815
O -0.459 3.560 0.466
O -0.459 3.560 2.884
O 2.538 3.437 1.675
O 0.857 0.865 1.675
```

Properties
- Symmetry: Cmcm, No. 63
- Raw formation energy: -2.368 eV per atom
- Total magnetic moment: 6.000 Bohr magnetons per cell

The following is a DFT calculation (PBE-GGA) of NaNpB2O6 after structural relaxation. Values from VASP.

Geometry as Quantum ESPRESSO input:
```
&SYSTEM
  ibrav = 0, nat = 20, ntyp = 4
/
ATOMIC_SPECIES
Na 22.99 Na.upf
Np 237.00 Np.upf
B 10.81 B.upf
O 16.00 O.upf
CELL_PARAMETERS angstrom
-2.083 -1.747 3.966
-3.119 -5.164 -2.700
4.847 -4.034 1.980
ATOMIC_POSITIONS angstrom
Na -3.012 -5.512 -1.340
Na 2.657 -5.433 4.586
Np 1.879 -4.818 1.534
Np -2.233 -6.127 1.712
B 0.094 -7.081 0.031
B -0.714 -3.176 0.464
B -0.449 -3.864 3.215
B 0.359 -7.769 2.782
O 0.165 -8.405 -0.459
O -1.379 -1.936 0.605
O -0.519 -2.540 3.705
O 1.024 -9.009 2.641
O -1.313 -6.569 -0.003
O -1.291 -3.969 -0.668
O 0.958 -4.376 3.249
O 0.936 -6.976 3.914
O -1.159 -7.832 3.171
O -0.833 -4.070 1.708
O 0.804 -3.113 0.075
O 0.478 -6.875 1.538
```

Properties
- Symmetry: C2/c, No. 15
- Raw formation energy: -2.402 eV per atom
- Total magnetic moment: 4.000 Bohr magnetons per cell

The following is a DFT calculation (PBE-GGA) of Na2B2O3 after structural relaxation. Values from VASP.

Geometry as Quantum ESPRESSO input:
```
&SYSTEM
  ibrav = 0, nat = 7, ntyp = 3
/
ATOMIC_SPECIES
Na 22.99 Na.upf
B 10.81 B.upf
O 16.00 O.upf
CELL_PARAMETERS angstrom
5.004 -0.531 -1.075
-3.453 4.703 0.800
-1.305 -0.583 5.040
ATOMIC_POSITIONS angstrom
Na -3.284 2.822 4.103
Na 3.531 0.767 0.662
B -0.532 0.523 4.717
B 0.778 3.066 0.048
O 0.000 0.000 0.000
O 1.383 1.916 0.750
O -1.137 1.674 4.015
```

Properties
- Symmetry: P-1, No. 2
- Raw formation energy: -1.509 eV per atom
- Total magnetic moment: 0.000 Bohr magnetons per cell

The following is a DFT calculation (PBE-GGA) of NaB3O after structural relaxation. Values from VASP.

Geometry as Quantum ESPRESSO input:
```
&SYSTEM
  ibrav = 0, nat = 5, ntyp = 3
/
ATOMIC_SPECIES
Na 22.99 Na.upf
B 10.81 B.upf
O 16.00 O.upf
CELL_PARAMETERS angstrom
-3.405 2.156 -2.075
-2.916 -3.096 1.568
-0.671 2.513 3.712
ATOMIC_POSITIONS angstrom
Na 0.000 0.000 0.000
B -1.458 -1.548 0.784
B -0.336 1.257 1.856
B -1.703 1.078 -1.038
O -3.496 0.787 1.603
```

Properties
- Symmetry: Pm-3m, No. 221
- Energy above the most stable polymorph in this dataset: 1377 meV per atom
- Raw formation energy: 3.248 eV per atom
- Total magnetic moment: 0.000 Bohr magnetons per cell